This record from Alexandria via LeMat-Bulk describes an optimized crystal structure of Ca2NdHo. The functional is PBE.

Cell: 4.158 4.158 8.382 Å, 90.00 90.00 90.00°
Sites, in units of the cell vectors:
Ca  0.000  0.000  0.757
Ca  0.000  0.000  0.243
Nd  0.500  0.500  0.500
Ho  0.500  0.500  0.000

space group = No. 123
D(E_F) = 6.0 states/eV/cell
offset from the most stable computed form = 0.28 eV/f.u.
ΔH_f (0 K) = 0.16 eV per atom


This record from Alexandria via LeMat-Bulk describes an optimized crystal structure of HgPW. The functional is PBE.

Cell: 4.098 4.098 3.745 Å, 90.00 90.00 120.00°
Sites, in units of the cell vectors:
Hg  0.000  0.000  0.500
P  0.667  0.333  0.000
W  0.333  0.667  0.000

space group = No. 187
D(E_F) = 0.9 states/eV/cell
offset from the most stable computed form = 0.34 eV/f.u.
ΔH_f (0 K) = 0.40 eV per atom


This record from Alexandria via LeMat-Bulk describes an optimized crystal structure of La3Ga3Pd8. The functional is PBE.

Cell: 4.457 8.348 8.501 Å, 65.87 74.80 74.52°
Sites, in units of the cell vectors:
La  0.296  0.734  0.675
La  0.704  0.266  0.325
La  0.000  0.000  0.000
Ga  0.000  0.500  0.500
Ga  0.673  0.658  0.997
Ga  0.327  0.342  0.003
Pd  0.121  0.160  0.599
Pd  0.879  0.840  0.401
Pd  0.872  0.420  0.837
Pd  0.128  0.580  0.163
Pd  0.504  0.669  0.324
Pd  0.496  0.331  0.676
Pd  0.347  0.047  0.260
Pd  0.653  0.953  0.740

space group = No. 12
D(E_F) = 5.9 states/eV/cell
ΔH_f (0 K) = -0.83 eV per atom


This record from Alexandria via LeMat-Bulk describes an optimized crystal structure of MoPS2Br. The functional is PBE.

Cell: 4.724 4.724 4.919 Å, 90.00 90.00 90.00°
Each line ends with the local moment (μB).
Sites, in units of the cell vectors:
P  0.000  0.000  0.500  -0.28
Mo  0.500  0.500  0.500  3.29
S  0.000  0.500  0.000  -0.13
S  0.500  0.000  0.000  -0.13
Br  0.000  0.000  0.000  0.02

space group = No. 123
D(E_F) = 4.0 states/eV/cell
offset from the most stable computed form = 7.06 eV/f.u.


no.,spin magnetization (μB per atom)
1,0.000
2,0.000
3,0.000
4,0.586